Here is an optimized crystal structure of Er2CoTe2S2O14 from the Alexandria database. Energies are from PBE with a Hubbard U.

Electronic total energy in eV per formula unit: -137.986
D(E_F) in states/eV/cell: 0.0

Lattice parameters (Å, degrees): 5.4763 8.1885 8.3523 117.09 111.66 83.33
Positions (direct):
1 Er 0.1354 0.2681 0.9731
2 Er 0.8646 0.7319 0.0269
3 Co 0.0000 0.0000 0.5000
4 Te 0.5185 0.2627 0.6473
5 Te 0.4815 0.7373 0.3527
6 S 0.8087 0.2150 0.2266
7 S 0.1913 0.7850 0.7734
8 O 0.0225 0.3146 0.2290
9 O 0.9775 0.6854 0.7710
10 O 0.8757 0.2180 0.4178
11 O 0.1243 0.7820 0.5822
12 O 0.5610 0.3106 0.1871
13 O 0.4390 0.6894 0.8129
14 O 0.7776 0.0236 0.0730
15 O 0.2224 0.9764 0.9270
16 O 0.7646 0.4270 0.8892
17 O 0.2354 0.5730 0.1108
18 O 0.2901 0.2006 0.7388
19 O 0.7099 0.7994 0.2612
20 O 0.7626 0.0779 0.6628
21 O 0.2374 0.9221 0.3372

Here is an optimized crystal structure of SrEr2CoO5 from the Alexandria database. Energies are from PBE with a Hubbard U.

Electronic total energy in eV per formula unit: -65.912

Lattice parameters (Å, degrees): 3.7240 5.6921 6.6348 115.40 106.30 90.00
Positions (direct):
1 Sr 0.0000 0.5000 0.0000
2 Er 0.2028 0.2028 0.4055
3 Er 0.7972 0.7972 0.5945
4 Co 0.5000 0.0000 0.0000
5 O 0.6494 0.9033 0.2988
6 O 0.3506 0.0967 0.7012
7 O 0.3506 0.6045 0.7012
8 O 0.6494 0.3955 0.2988
9 O 0.0000 0.0000 0.0000

Here is an optimized crystal structure of Er2TiCoO6 from the Alexandria database. Energies are from PBE with a Hubbard U.

Electronic total energy in eV per formula unit: -81.498
D(E_F) in states/eV/cell: 0.0

Lattice parameters (Å, degrees): 5.2773 5.6359 7.6767 90.00 89.05 90.00
Positions (direct):
1 Er 0.0230 0.9270 0.2533
2 Er 0.5230 0.5730 0.7533
3 Er 0.9770 0.0730 0.7467
4 Er 0.4770 0.4270 0.2467
5 Ti 0.5000 0.0000 0.5000
6 Ti 0.0000 0.5000 0.0000
7 Co 0.5000 0.0000 0.0000
8 Co 0.0000 0.5000 0.5000
9 O 0.3022 0.6855 0.0577
10 O 0.8022 0.8145 0.5577
11 O 0.6978 0.3145 0.9423
12 O 0.1978 0.1855 0.4423
13 O 0.3203 0.7050 0.4316
14 O 0.8203 0.7950 0.9316
15 O 0.6797 0.2950 0.5684
16 O 0.1797 0.2050 0.0684
17 O 0.8749 0.5492 0.2416
18 O 0.3749 0.9508 0.7416
19 O 0.1251 0.4508 0.7584
20 O 0.6251 0.0492 0.2584

> Look up the electronic total energy of the third one.

-81.498 eV per formula unit